Here is a relaxed structure of Li12GaRh6 from Alexandria. Energies are from GGA-PBE.

abc: 6.521 6.521 6.521
angles: 84.79 84.79 84.79
Element x y z (fractional)
Li 0.514 0.513 0.810
Rh 0.379 0.899 0.899
Rh 0.899 0.379 0.899
Li 0.728 0.729 0.055
Rh 0.101 0.621 0.101
Li 0.487 0.190 0.486
Li 0.486 0.487 0.190
Li 0.810 0.514 0.513
Li 0.945 0.272 0.271
Li 0.190 0.486 0.487
Li 0.055 0.728 0.729
Rh 0.621 0.101 0.101
Li 0.272 0.271 0.945
Li 0.513 0.810 0.514
Li 0.729 0.055 0.728
Rh 0.101 0.101 0.621
Ga 0.000 0.000 0.000
Rh 0.899 0.899 0.379
Li 0.271 0.945 0.272

Density of states at the Fermi level (states/eV per atom): 0.534
Energy relative to the elements (eV per atom): -0.097



Here is a relaxed structure of Ac3CeC8 from Alexandria. Energies are from GGA-PBE.

abc: 6.771 6.760 6.771
angles: 68.34 74.74 111.65
Last column: magnetic moment on the atom in μB.
Element x y z (fractional)
C 0.374 0.000 0.944  0.01
Ac 0.500 0.000 0.500  0.00
Ce 0.001 0.000 0.999  0.78
Ac 0.251 0.500 0.249  0.01
C 0.611 0.480 0.389  0.00
C 0.943 0.318 0.057  0.01
C 0.131 0.520 0.869  0.00
C 0.626 0.682 0.374  0.01
C 0.388 0.000 0.132  0.00
C 0.056 0.000 0.626  0.01
C 0.868 0.000 0.612  0.00
Ac 0.751 0.500 0.749  0.01

Density of states at the Fermi level (states/eV per atom): 0.688
Energy relative to the elements (eV per atom): 0.191



Here is a relaxed structure of La6Pr4Er from Alexandria. Energies are from GGA-PBE.

abc: 7.029 7.029 9.626
angles: 111.41 111.41 90.00
Element x y z (fractional)
La 0.500 0.000 0.000
Pr 0.060 0.723 0.783
La 0.131 0.131 0.636
Pr 0.940 0.940 0.217
La 0.495 0.869 0.364
La 0.505 0.505 0.636
Pr 0.277 0.277 0.217
Pr 0.723 0.060 0.783
Er 0.500 0.500 0.000
La 0.000 0.500 0.000
La 0.869 0.495 0.364

Density of states at the Fermi level (states/eV per atom): 1.718
Energy relative to the lowest polymorph listed for this composition (eV/atom): 0.1562
Energy relative to the elements (eV per atom): 0.248



Here is a relaxed structure of Cd2SbPb from Alexandria. Energies are from GGA-PBE.

abc: 3.495 3.495 8.783
angles: 90.00 90.00 92.09
Element x y z (fractional)
Sb 0.500 0.500 0.750
Pb 0.500 0.500 0.250
Cd 0.000 0.000 0.508
Cd 0.000 0.000 0.992

Density of states at the Fermi level (states/eV per atom): 0.272
Raw formation energy (eV/atom): 0.09
Energy relative to the lowest polymorph listed for this composition (eV/atom): 0.0296



Here is a relaxed structure of YSc2Se from Alexandria. Energies are from GGA-PBE.

abc: 3.650 3.650 9.038
angles: 78.35 78.35 60.00
Element x y z (fractional)
Sc 0.064 0.064 0.808
Sc 0.270 0.270 0.191
Se 0.666 0.666 0.001
Y 0.500 0.500 0.500

Density of states at the Fermi level (states/eV per atom): 1.307
Raw formation energy (eV/atom): -0.74



Here is a relaxed structure of CsH6N3 from Alexandria. Energies are from GGA-PBE.

abc: 4.114 6.269 6.269
angles: 115.35 102.64 102.64
Last column: magnetic moment on the atom in μB.
Element x y z (fractional)
H 0.654 0.529 0.529  0.00
Cs 0.620 0.000 0.000  0.00
N 0.997 0.000 0.596  0.45
H 0.125 0.000 0.471  0.00
N 0.402 0.404 0.404  0.45
H 0.125 0.471 0.000  0.00
H 0.751 0.000 0.513  0.00
N 0.997 0.596 0.000  0.45
H 0.238 0.487 0.487  0.00
H 0.751 0.513 0.000  0.00

Density of states at the Fermi level (states/eV per atom): 0.185
Raw total energy (eV per atom): -4.531



These records have total moment values of 0.00; 1.01; 0.00; 0.00; 0.16; 2.00 Bohr magnetons per cell, in the order they appear.